! PmPrMg | Alexandria | PBE | relaxed; values from VASP
! **Energy**: -3.765 eV/atom
! **Energy above the most stable polymorph in this dataset**: 0.0 meV per atom
! **Energy of formation**: -5 kJ per mole of atoms
&SYSTEM
  ibrav = 0, nat = 6, ntyp = 3
/
ATOMIC_SPECIES
Pm 145.00 Pm.upf
Pr 140.91 Pr.upf
Mg 24.30 Mg.upf
ATOMIC_POSITIONS angstrom
Pm -2.453 -4.479 3.213
Pm 0.509 1.038 4.818
Pr -1.691 -1.905 5.674
Pr -0.253 -1.536 2.357
Mg -3.527 -1.765 1.491
Mg 1.584 -1.676 6.539
CELL_PARAMETERS angstrom
-4.861 -0.583 2.115
0.468 -5.302 -0.386
2.449 2.444 6.302